The following is a GGA-PBE calculation of a geometry-optimized ZnCr2HIr structure, from the Alexandria database.

Structure (CIF):
```
data_ZnCr2HIr
_chemical_formula_sum 'Zn1 Cr2 H1 Ir1'
_cell_length_a 3.681
_cell_length_b 3.681
_cell_length_c 4.045
_cell_angle_alpha 90.00
_cell_angle_beta 90.00
_cell_angle_gamma 90.00
_symmetry_space_group_name_H-M 'P 1'
_symmetry_Int_Tables_number 1
loop_
_symmetry_equiv_pos_as_xyz
'x,y,z'
loop_
_atom_site_label
_atom_site_fract_x
_atom_site_fract_y
_atom_site_fract_z
Cr1 0.500 0.000 0.000
Ir1 0.500 0.500 0.500
Zn1 0.000 0.000 0.500
H1 0.000 0.000 0.000
Cr2 0.000 0.500 0.000
```

Computed properties:
magnetization: 2.8 μB/f.u.
E_tot: -32.06 eV/cell
space group: P4/mmm, No. 123
excess energy over the best structure of this formula in the dataset: 13.5 meV per atom